# CoAsBr2O

Crystalline CoAsBr2O at its relaxed geometry (GGA+U, Alexandria).

Calculated values
* space-group type: No. 123
* energy above the lowest structure with this stoichiometry: 0.042 eV per atom

Cell and atoms, written as extended XYZ:
```
5
Lattice="5.036 0.000 0.000 0.000 5.036 0.000 0.000 0.000 4.546" Properties=species:S:1:pos:R:3 pbc="T T T"
Br 0.000 2.518 0.000
Br 2.518 0.000 0.000
As 0.000 0.000 2.273
Co 0.000 0.000 0.000
O 2.518 2.518 2.273
```